[1]
Here is InHRh3 after structural relaxation from Alexandria via LeMat-Bulk. Energies are from PBE.

Symmetry: C2/m (12)
Calculated total energy (eV/atom): -5.521
Excess energy over the best structure of this formula in the dataset (meV/atom): 311

Structure (POSCAR):
```
InHRh3
1.0
7.2094 -1.4146 0.0000
7.2094 1.4146 0.0000
-1.9202 0.0000 6.8179
In H Rh
2 2 6
Cartesian
-0.0810 0.0000 1.4911 In
12.5796 0.0000 5.3267 In
4.5601 0.0000 1.5104 H
7.9384 0.0000 5.3075 H
0.5819 0.0000 4.1551 Rh
2.3944 0.0000 0.0692 Rh
3.1535 0.0000 4.4639 Rh
9.3450 0.0000 2.3540 Rh
10.1042 0.0000 6.7486 Rh
11.9167 0.0000 2.6627 Rh
```

[2]
Here is Nd8Ir3PtBr4 after structural relaxation from Alexandria via LeMat-Bulk. Energies are from PBE.

Symmetry: C2/m (12)
Calculated total energy (eV/atom): -5.982
Formation energy from raw total energies (meV/atom): -1141

Structure (POSCAR):
```
Nd8Ir3PtBr4
1.0
7.2524 -4.1877 0.0000
7.2524 4.1877 0.0000
-4.8431 0.0000 7.7686
Nd Ir Pt Br
8 3 1 4
Cartesian
3.6008 2.1328 5.4009 Nd
-0.0029 0.0000 5.4034 Nd
2.3676 0.0000 2.3678 Nd
6.0610 2.1328 2.3677 Nd
3.6008 -2.1328 5.4009 Nd
7.2941 0.0000 5.4007 Nd
9.6647 0.0000 2.3652 Nd
6.0610 -2.1328 2.3677 Nd
-2.4216 0.0000 3.8843 Ir
1.2047 2.0939 3.8843 Ir
1.2047 -2.0939 3.8843 Ir
4.8309 0.0000 3.8843 Pt
0.0000 0.0000 0.0000 Br
3.6262 2.0939 0.0000 Br
3.6262 -2.0939 0.0000 Br
7.2524 0.0000 0.0000 Br
```

[3]
Here is LaPr2Tl2Hg2 after structural relaxation from Alexandria via LeMat-Bulk. Energies are from PBE.

Symmetry: R-3m (166)
E_form (eV/atom): -0.268
Calculated total energy (eV/atom): -3.100

Structure (POSCAR):
```
LaPr2Tl2Hg2
1.0
2.5409 1.4670 9.2817
-2.5409 1.4670 9.2817
0.0000 -2.9340 9.2817
La Pr Tl Hg
1 2 2 2
Cartesian
0.0000 0.0000 0.0000 La
0.0000 0.0000 3.7452 Pr
0.0000 0.0000 24.0998 Pr
0.0000 0.0000 7.5689 Tl
0.0000 0.0000 20.2761 Tl
0.0000 0.0000 11.9927 Hg
0.0000 0.0000 15.8523 Hg
```

[4]
Here is YEr2Sc after structural relaxation from Alexandria via LeMat-Bulk. Energies are from PBE.

Symmetry: Imm2 (44)
E_form (eV/atom): 0.017
Calculated total energy (eV/atom): -5.463
Excess energy over the best structure of this formula in the dataset (meV/atom): 0

Structure (POSCAR):
```
YEr2Sc
1.0
-1.7700 5.4980 3.0506
1.7700 -5.4980 3.0506
1.7700 5.4980 -3.0506
Y Er Sc
1 2 1
Cartesian
0.0000 0.0000 0.0000 Y
1.7700 2.8148 0.9691 Er
0.0000 2.6833 4.0197 Er
1.7700 0.0000 3.0132 Sc
```

[5]
Here is ZrPaBr5 after structural relaxation from Alexandria via LeMat-Bulk. Energies are from PBE.

Symmetry: P2_1/m (11)
Calculated total energy (eV/atom): -5.035
Formation energy from raw total energies (meV/atom): -1263

Structure (POSCAR):
```
ZrPaBr5
1.0
8.7950 0.0000 0.0000
0.0000 3.6030 0.0000
-0.3949 0.0000 14.4674
Zr Pa Br
2 2 10
Cartesian
1.4733 0.9008 2.7147 Zr
6.9268 2.7023 11.7527 Zr
3.5850 2.7023 5.5262 Pa
4.8151 0.9008 8.9412 Pa
0.1817 0.9008 11.5556 Br
1.2683 0.9008 5.4617 Br
2.1754 2.7023 0.7876 Br
2.5256 2.7023 8.3042 Br
4.1690 0.9008 3.2273 Br
4.2311 2.7023 11.2401 Br
5.8745 0.9008 6.1632 Br
6.2247 0.9008 13.6798 Br
7.1318 2.7023 9.0057 Br
8.2184 2.7023 2.9118 Br
```

[6]
Here is Cd2HgRh after structural relaxation from Alexandria via LeMat-Bulk. Energies are from PBE.

Symmetry: P2_1/m (11)
E_form (eV/atom): -0.048
Calculated total energy (eV/atom): -2.419

Structure (POSCAR):
```
Cd2HgRh
1.0
3.1081 0.0000 0.0000
0.0000 4.6221 0.0000
-1.3506 0.0000 11.6103
Cd Hg Rh
4 2 2
Cartesian
-0.0003 1.1555 1.2863 Cd
0.0083 3.4666 3.3618 Cd
1.7492 1.1555 8.2484 Cd
1.7578 3.4666 10.3240 Cd
0.1854 3.4666 6.7564 Hg
1.5721 1.1555 4.8539 Hg
0.2009 1.1555 10.5469 Rh
1.5566 3.4666 1.0634 Rh
```

[7]
Here is La2ScCo2 after structural relaxation from Alexandria via LeMat-Bulk. Energies are from PBE.

Symmetry: P4/mbm (127)
E_form (eV/atom): -0.068
Calculated total energy (eV/atom): -6.147

Structure (POSCAR):
```
La2ScCo2
1.0
7.2446 0.0000 0.0000
0.0000 7.2446 0.0000
0.0000 0.0000 4.2589
La Sc Co
4 2 4
Cartesian
1.3097 2.3126 0.0000 La
2.3126 5.9349 0.0000 La
4.9320 1.3097 0.0000 La
5.9349 4.9320 0.0000 La
0.0000 0.0000 2.1295 Sc
3.6223 3.6223 2.1295 Sc
0.8200 4.4423 2.1295 Co
2.8023 0.8200 2.1295 Co
4.4423 6.4246 2.1295 Co
6.4246 2.8023 2.1295 Co
```

[8]
Here is La2TmTlO after structural relaxation from Alexandria via LeMat-Bulk. Energies are from PBE.

Symmetry: P4/mmm (123)
Calculated total energy (eV/atom): -5.679
Formation energy from raw total energies (meV/atom): -1349

Structure (POSCAR):
```
La2TmTlO
1.0
5.1570 0.0000 0.0000
0.0000 5.1570 0.0000
0.0000 0.0000 4.6790
La Tm Tl O
2 1 1 1
Cartesian
0.0000 2.5785 0.0000 La
2.5785 0.0000 0.0000 La
0.0000 0.0000 2.3395 Tm
2.5785 2.5785 2.3395 Tl
0.0000 0.0000 0.0000 O
```

[9]
Here is TaZn2Mo after structural relaxation from Alexandria via LeMat-Bulk. Energies are from PBE.

Symmetry: C2/m (12)
E_form (eV/atom): 0.066
Calculated total energy (eV/atom): -6.242
Excess energy over the best structure of this formula in the dataset (meV/atom): 54

Structure (POSCAR):
```
TaZn2Mo
1.0
2.7067 -4.2288 0.0000
2.7067 4.2288 0.0000
-0.0456 0.0000 2.7227
Ta Zn Mo
1 2 1
Cartesian
0.0000 0.0000 0.0000 Ta
1.3306 2.1144 1.3613 Zn
1.3306 -2.1144 1.3613 Zn
2.7067 0.0000 0.0000 Mo
```

[10]
Here is Zr2SeCl after structural relaxation from Alexandria via LeMat-Bulk. Energies are from PBE.

Symmetry: Cmm2 (35)
Calculated total energy (eV/atom): -6.517
Formation energy from raw total energies (meV/atom): -910
Excess energy over the best structure of this formula in the dataset (meV/atom): 69

Structure (POSCAR):
```
Zr2SeCl
1.0
1.9577 -2.6193 0.0000
1.9577 2.6193 0.0000
0.0000 0.0000 9.7707
Zr Se Cl
2 1 1
Cartesian
0.0000 0.0000 0.0000 Zr
1.9577 0.0000 2.4046 Zr
0.0000 0.0000 4.1557 Se
1.9577 0.0000 8.0092 Cl
```

[11]
Here is Ce3AsC after structural relaxation from Alexandria via LeMat-Bulk. Energies are from PBE.

Symmetry: Cmce (64)
E_form (eV/atom): -0.521
Calculated total energy (eV/atom): -6.856

Structure (POSCAR):
```
Ce3AsC
1.0
4.9207 -7.7102 0.0000
4.9207 7.7102 0.0000
0.0000 0.0000 5.9484
Ce As C
12 4 4
Cartesian
4.9207 6.8531 4.4761 Ce
2.4604 1.8022 4.4613 Ce
4.9207 3.9070 2.9515 Ce
4.9207 3.8032 5.9257 Ce
2.4604 -1.8022 1.4871 Ce
4.9207 0.8571 1.5019 Ce
4.9207 -0.8571 4.4465 Ce
7.3811 1.8022 4.4613 Ce
4.9207 -3.8032 0.0227 Ce
4.9207 -3.9070 2.9970 Ce
7.3811 -1.8022 1.4871 Ce
4.9207 -6.8531 1.4723 Ce
2.4604 2.6439 1.4871 As
2.4604 -2.6439 4.4613 As
7.3811 2.6439 1.4871 As
7.3811 -2.6439 4.4613 As
4.9207 6.1635 1.2008 C
4.9207 1.5466 4.1750 C
4.9207 -1.5466 1.7734 C
4.9207 -6.1635 4.7476 C
```

[12]
Here is TiBeSb2I after structural relaxation from Alexandria via LeMat-Bulk. Energies are from PBE.

Symmetry: P4/mmm (123)
Calculated total energy (eV/atom): -3.650
Formation energy from raw total energies (meV/atom): 633
Excess energy over the best structure of this formula in the dataset (meV/atom): 0

Structure (POSCAR):
```
TiBeSb2I
1.0
4.8037 0.0000 0.0000
0.0000 4.8037 0.0000
0.0000 0.0000 5.5551
Ti Be Sb I
1 1 2 1
Cartesian
0.0000 0.0000 0.0000 Ti
2.4019 2.4019 2.7776 Be
0.0000 2.4019 2.7776 Sb
2.4019 0.0000 2.7776 Sb
2.4019 2.4019 0.0000 I
```

[13]
Here is LaSbSe after structural relaxation from Alexandria via LeMat-Bulk. Energies are from PBE.

Symmetry: F-43m (216)
Calculated total energy (eV/atom): -4.975
Formation energy from raw total energies (meV/atom): -797

Structure (POSCAR):
```
LaSbSe
1.0
0.0000 3.5718 3.5718
3.5718 0.0000 3.5718
3.5718 3.5718 0.0000
La Sb Se
1 1 1
Cartesian
0.0000 0.0000 0.0000 La
3.5718 3.5718 3.5718 Sb
5.3577 5.3577 5.3577 Se
```

[14]
Here is BeRe2Ni after structural relaxation from Alexandria via LeMat-Bulk. Energies are from PBE.

Symmetry: Cmmm (65)
E_form (eV/atom): 0.156
Calculated total energy (eV/atom): -8.445

Structure (POSCAR):
```
BeRe2Ni
1.0
2.5248 -3.8279 0.0000
2.5248 3.8279 0.0000
0.0000 0.0000 2.6211
Be Re Ni
1 2 1
Cartesian
0.0000 0.0000 0.0000 Be
1.2624 1.9140 1.3106 Re
1.2624 -1.9140 1.3106 Re
2.5248 0.0000 0.0000 Ni
```

[15]
Here is Pm8PrCd2 after structural relaxation from Alexandria via LeMat-Bulk. Energies are from PBE.

Symmetry: C2/m (12)
E_form (eV/atom): 0.290
Calculated total energy (eV/atom): -3.766
Excess energy over the best structure of this formula in the dataset (meV/atom): 363

Structure (POSCAR):
```
Pm8PrCd2
1.0
7.1065 -5.4249 0.0000
7.1065 5.4249 0.0000
-1.0605 0.0000 5.2346
Pm Pr Cd
8 1 2
Cartesian
0.8998 0.0000 1.5357 Pm
5.4522 2.8869 1.1183 Pm
2.7665 0.0000 4.5694 Pm
7.7003 2.8869 4.1163 Pm
5.4522 -2.8869 1.1183 Pm
10.3859 0.0000 0.6652 Pm
7.7003 -2.8869 4.1163 Pm
12.2527 0.0000 3.6989 Pm
7.1065 0.0000 0.0000 Pr
4.8097 0.0000 2.3185 Cd
8.3427 0.0000 2.9161 Cd
```

[16]
Here is KZr2Hg after structural relaxation from Alexandria via LeMat-Bulk. Energies are from PBE.

Symmetry: F-43m (216)
E_form (eV/atom): 0.700
Calculated total energy (eV/atom): -3.924

Structure (POSCAR):
```
KZr2Hg
1.0
0.0000 3.7400 3.7400
3.7400 0.0000 3.7400
3.7400 3.7400 0.0000
K Zr Hg
1 2 1
Cartesian
0.0000 0.0000 0.0000 K
3.7400 3.7400 3.7400 Zr
5.6099 5.6099 5.6099 Zr
1.8700 1.8700 1.8700 Hg
```

[17]
Here is CoAuSe2 after structural relaxation from Alexandria via LeMat-Bulk. Energies are from PBE.

Symmetry: P-1 (2)
Calculated total energy (eV/atom): -4.464
Formation energy from raw total energies (meV/atom): -126

Structure (POSCAR):
```
CoAuSe2
1.0
3.3624 0.0000 0.0000
-0.0488 6.2988 0.0000
0.0000 -2.1660 7.5480
Co Au Se
2 2 4
Cartesian
0.8163 1.2430 3.1563 Co
2.4972 2.8898 4.3917 Co
0.8164 4.2620 0.4385 Au
2.4972 -0.1293 7.1095 Au
0.8156 3.5056 2.8725 Se
0.8146 3.5337 5.9276 Se
2.4990 0.5991 1.6204 Se
2.4979 0.6271 4.6755 Se
```

[18]
Here is ErCd2In2Ag2 after structural relaxation from Alexandria via LeMat-Bulk. Energies are from PBE.

Symmetry: C2/m (12)
E_form (eV/atom): -0.148
Calculated total energy (eV/atom): -2.659

Structure (POSCAR):
```
ErCd2In2Ag2
1.0
4.5476 -2.3184 0.0000
4.5476 2.3184 0.0000
-1.4090 0.0000 7.3946
Er Cd In Ag
1 2 2 2
Cartesian
0.0000 0.0000 0.0000 Er
3.3329 0.0000 2.2067 Cd
4.3533 0.0000 5.1879 Cd
1.5013 0.0000 5.9820 In
6.1850 0.0000 1.4125 In
0.5792 0.0000 3.1105 Ag
7.1071 0.0000 4.2840 Ag
```

[19]
Here is NaTeMoI2 after structural relaxation from Alexandria via LeMat-Bulk. Energies are from PBE.

Symmetry: P4/mmm (123)
Calculated total energy (eV/atom): -3.753
Formation energy from raw total energies (meV/atom): -74
Excess energy over the best structure of this formula in the dataset (meV/atom): 0

Structure (POSCAR):
```
NaTeMoI2
1.0
5.8657 0.0000 0.0000
0.0000 5.8657 0.0000
0.0000 0.0000 5.3088
Na Te Mo I
1 1 1 2
Cartesian
0.0000 0.0000 0.0000 Na
2.9328 2.9328 0.0000 Te
2.9328 2.9328 2.6544 Mo
0.0000 2.9328 2.6544 I
2.9328 0.0000 2.6544 I
```

[20]
Here is ScZn2Re after structural relaxation from Alexandria via LeMat-Bulk. Energies are from PBE.

Symmetry: P4mm (99)
E_form (eV/atom): 0.064
Calculated total energy (eV/atom): -5.268
Excess energy over the best structure of this formula in the dataset (meV/atom): 151

Structure (POSCAR):
```
ScZn2Re
1.0
2.8150 0.0000 0.0000
0.0000 2.8150 0.0000
0.0000 0.0000 8.1171
Sc Zn Re
1 2 1
Cartesian
0.0000 0.0000 0.0000 Sc
0.0000 0.0000 4.0554 Zn
1.4075 1.4075 2.2162 Zn
1.4075 1.4075 5.9769 Re
```

[21]
Here is Ac3CeCo2 after structural relaxation from Alexandria via LeMat-Bulk. Energies are from PBE.

Symmetry: C2/m (12)
E_form (eV/atom): -0.036
Calculated total energy (eV/atom): -5.447

Structure (POSCAR):
```
Ac3CeCo2
1.0
8.6483 -2.1055 0.0000
8.6483 2.1055 0.0000
-7.8148 0.0000 10.5966
Ac Ce Co
6 2 4
Cartesian
-0.3723 0.0000 2.0786 Ac
-1.2829 0.0000 5.9622 Ac
-1.9753 0.0000 10.0342 Ac
11.4569 0.0000 0.5624 Ac
10.7645 0.0000 4.6344 Ac
9.8540 0.0000 8.5180 Ac
5.4250 0.0000 3.1871 Ce
4.0567 0.0000 7.4095 Ce
-4.6438 0.0000 9.0590 Co
1.7893 0.0000 6.5953 Co
7.6924 0.0000 4.0013 Co
14.1255 0.0000 1.5376 Co
```

[22]
Here is Ce2SnHg2 after structural relaxation from Alexandria via LeMat-Bulk. Energies are from PBE.

Symmetry: C2/m (12)
E_form (eV/atom): -0.374
Calculated total energy (eV/atom): -3.669
Excess energy over the best structure of this formula in the dataset (meV/atom): 60

Structure (POSCAR):
```
Ce2SnHg2
1.0
4.5194 -2.5929 0.0000
4.5194 2.5929 0.0000
-3.0526 0.0000 5.6253
Ce Sn Hg
2 1 2
Cartesian
-0.0097 0.0000 1.5009 Ce
5.9959 0.0000 4.1244 Ce
2.9931 0.0000 2.8127 Sn
-0.0380 0.0000 5.2304 Hg
6.0242 0.0000 0.3949 Hg
```

[23]
Here is YTmTh4 after structural relaxation from Alexandria via LeMat-Bulk. Energies are from PBE.

Symmetry: Pmmm (47)
E_form (eV/atom): 0.078
Calculated total energy (eV/atom): -6.691
Excess energy over the best structure of this formula in the dataset (meV/atom): 0

Structure (POSCAR):
```
YTmTh4
1.0
3.4839 0.0000 0.0000
0.0000 5.7013 0.0000
0.0000 0.0000 9.8665
Y Tm Th
1 1 4
Cartesian
0.0000 0.0000 0.0000 Y
0.0000 2.8507 4.9332 Tm
1.7420 0.0000 3.2987 Th
1.7420 0.0000 6.5677 Th
1.7420 2.8507 1.6573 Th
1.7420 2.8507 8.2092 Th
```

[24]
Here is La8Pd3SeI4 after structural relaxation from Alexandria via LeMat-Bulk. Energies are from PBE.

Symmetry: R-3m (166)
Calculated total energy (eV/atom): -5.113
Formation energy from raw total energies (meV/atom): -1070

Structure (POSCAR):
```
La8Pd3SeI4
1.0
4.3435 2.5077 7.9433
-4.3435 2.5077 7.9433
0.0000 -5.0154 7.9433
La Pd Se I
8 3 1 4
Cartesian
0.0000 0.0000 5.4861 La
-2.1898 -1.2642 13.5662 La
0.0000 -2.5285 10.2636 La
-2.1897 1.2642 10.2636 La
2.1898 -1.2643 13.5662 La
0.0000 2.5285 13.5662 La
2.1897 1.2643 10.2637 La
0.0000 0.0000 18.3437 La
-4.3435 0.0000 11.9149 Pd
-2.1717 1.2539 3.9716 Pd
2.1717 1.2539 3.9716 Pd
0.0000 0.0000 11.9149 Se
0.0000 0.0000 0.0000 I
-2.1717 -1.2539 7.9433 I
-2.1717 1.2539 15.8865 I
0.0000 2.5077 7.9433 I
```